The following is a PBE-GGA calculation of a relaxed structure of AlReAg2, from Alexandria.

```
AlReAg2
1.0
2.771 0.000 0.000
0.000 2.771 0.000
0.000 0.000 8.415
Al Ag Re
1 2 1
direct
0.000 0.000 0.511 Al
0.000 0.000 0.992 Ag
0.500 0.500 0.265 Ag
0.500 0.500 0.733 Re
```

Summary:
E_form = 0.20 eV per atom
SG = No. 99
Magnetic moment = 0.00 μB/cell